1.
Compound: AgHg2Br
Source: Alexandria via LeMat-Bulk
Functional: PBE-GGA
Structure: optimized geometry

Calculated values
ρ: 8.402 g cm⁻³
formation energy from raw total energies: -54 kJ/mol of formula units
offset from the most stable computed form: 3.5 meV/atom

Cell: 7.0526 4.0778 8.4321 Å, 90.00 106.25 90.00°
Closest atoms and distances in Å follow each position.
Space group Cm (No. 8)
One atom of each set of equivalent atoms:
Ag 0.0000 0.0000 0.0000  3 Br 2.76, 3 Hg 2.97
Hg 0.0026 0.5000 0.5073  3 Hg 3.20, 3 Br 3.56
Hg 0.2584 0.0000 0.7752  3 Ag 2.97, 3 Hg 3.20
Br 0.2259 0.5000 0.1779  3 Ag 2.76

=====

2.
Compound: Nd8Bi2Os
Source: Alexandria via LeMat-Bulk
Functional: PBE-GGA
Structure: optimized geometry

Calculated values
density of states at the Fermi level: 11.6 states/eV/f.u.
energy: -5.5117 eV per atom
ρ: 8.225 g cm⁻³

Cell: 19.7677 4.8073 7.5801 Å, 90.00 99.00 90.00°
Closest atoms and distances in Å follow each position.
Space group C2/m (No. 12)
One atom of each set of equivalent atoms:
Nd 0.0046 0.0000 0.2797  2 Os 2.94
Nd 0.0935 0.5000 0.0070  2 Bi 3.43, 8 Nd 3.60-3.78
Nd 0.1405 0.5000 0.5331  1 Os 2.75
Nd 0.2157 0.0000 0.8487  3 Bi 3.36-3.38, 7 Nd 3.45-3.76
Bi 0.1818 0.0000 0.2725  9 Nd 3.29-3.59
Os 0.0000 0.5000 0.5000  6 Nd 2.75-2.94

=====

3.
Compound: PuPaGeO
Source: Alexandria via LeMat-Bulk
Functional: PBE-GGA
Structure: optimized geometry

Calculated values
density of states at the Fermi level: 4.9 states/eV/f.u.
ρ: 12.289 g cm⁻³
formation energy from raw total energies: -580 kJ/mol of formula units

Cell: 3.9623 3.9623 9.7030 Å, 90.00 90.00 90.00°
Closest atoms and distances in Å follow each position.
Space group P4/nmm (No. 129, origin choice 2)
One atom of each set of equivalent atoms:
Pu 0.2500 0.7500 0.0000  4 Pu 2.80, 4 Ge 2.97
Pa 0.2500 0.2500 0.3670  4 O 2.36
Ge 0.2500 0.2500 0.7715  4 Pu 2.97, 4 Pa 3.11, 4 O 3.30
O 0.2500 0.7500 0.5000  4 Pa 2.36

=====

4.
Compound: PrSi2Au
Source: Alexandria via LeMat-Bulk
Functional: PBE-GGA
Structure: optimized geometry

Calculated values
density of states at the Fermi level: 1.2 states/eV/f.u.
ρ: 7.262 g cm⁻³
formation energy from raw total energies: -141 kJ/mol of formula units

Cell: 3.9663 5.9763 7.6025 Å, 90.00 90.00 90.00°
Closest atoms and distances in Å follow each position.
Space group Amm2 (No. 38)
One atom of each set of equivalent atoms:
Pr 0.0000 0.0000 0.0000  8 Si 3.14-3.18
Si 0.5000 0.1903 0.7086  1 Si 2.27, 2 Au 2.42-2.52
Au 0.5000 0.0000 0.4130  4 Si 2.42-2.52

=====

5.
Compound: Nd6AlTe5
Source: Alexandria via LeMat-Bulk
Functional: PBE-GGA
Structure: optimized geometry

Calculated values
density of states at the Fermi level: 7.0 states/eV/f.u.
ρ: 6.591 g cm⁻³
formation energy from raw total energies: -1468 kJ/mol of formula units

Cell: 7.7983 13.4584 7.7900 Å, 90.00 109.39 90.00°
Closest atoms and distances in Å follow each position.
Space group C2/m (No. 12)
One atom of each set of equivalent atoms:
Nd 0.2356 0.0000 0.2586  1 Al 3.03, 5 Te 3.19-3.33
Nd 0.2378 0.1587 0.7390  1 Al 3.03, 5 Te 3.18-3.28
Al 0.0000 0.0000 0.5000  6 Nd 3.03
Te 0.0000 0.1721 0.0000  6 Nd 3.18-3.28
Te 0.0000 0.3345 0.5000  6 Nd 3.19-3.20
Te 0.0000 0.5000 0.0000  6 Nd 3.18-3.33

=====

6.
Compound: TbZnAs2
Source: Alexandria via LeMat-Bulk
Functional: PBE-GGA
Structure: optimized geometry

Calculated values
density of states at the Fermi level: 2.2 states/eV/f.u.
energy: -4.3324 eV per atom
ρ: 6.999 g cm⁻³

Cell: 4.0623 4.0623 18.6367 Å, 90.00 90.00 120.00°
Closest atoms and distances in Å follow each position.
Space group R-3m (No. 166, hexagonal axes)
One atom of each set of equivalent atoms:
Tb 0.0000 0.0000 0.0000  6 As 2.91
Zn 0.0000 0.0000 0.5000  6 As 2.73
As 0.0000 0.0000 0.2413  3 Zn 2.73, 3 Tb 2.91

=====

7.
Compound: GaHRh3
Source: Alexandria via LeMat-Bulk
Functional: PBE-GGA
Structure: optimized geometry

Calculated values
density of states at the Fermi level: 5.1 states/eV/f.u.
ρ: 9.704 g cm⁻³
offset from the most stable computed form: 254.3 meV/atom

Cell: 4.9815 7.1953 7.2460 Å, 90.00 90.00 90.00°
Closest atoms and distances in Å follow each position.
Space group Pnma (No. 62)
One atom of each set of equivalent atoms:
Ga 0.0000 0.0000 0.0000  6 Rh 2.51-2.57
H 0.0370 0.2500 0.4632  1 Rh 1.73
Rh 0.0551 0.5742 0.3367  1 H 1.98
Rh 0.2404 0.7500 0.6802  1 H 1.73

=====

8.
Compound: Dy6Sc2In
Source: Alexandria via LeMat-Bulk
Functional: PBE-GGA
Structure: optimized geometry

Calculated values
density of states at the Fermi level: 12.6 states/eV/f.u.
energy: -4.7727 eV per atom
ρ: 7.430 g cm⁻³

Cell: 3.4070 9.9243 15.5961 Å, 90.00 90.00 90.00°
Closest atoms and distances in Å follow each position.
Space group Immm (No. 71)
One atom of each set of equivalent atoms:
Dy 0.0000 0.1647 0.1762  1 In 3.20, 7 Dy 3.27-3.57, 3 Sc 3.34-3.50
Dy 0.0000 0.1835 0.5000  7 Dy 3.41-3.64, 4 Sc 3.50, 2 In 3.57
Sc 0.0000 0.5000 0.1578  10 Dy 3.34-3.50, 2 Sc 3.41
In 0.0000 0.0000 0.0000  8 Dy 3.20-3.57, 2 In 3.41

=====

9.
Compound: CeTh3InTc
Source: Alexandria via LeMat-Bulk
Functional: PBE-GGA
Structure: optimized geometry

Calculated values
density of states at the Fermi level: 9.2 states/eV/f.u.
energy: -7.0365 eV per atom
ρ: 10.292 g cm⁻³

Cell: 16.4486 7.3409 6.0192 Å, 90.00 111.33 90.00°
Closest atoms and distances in Å follow each position.
Space group C2/m (No. 12)
One atom of each set of equivalent atoms:
Ce 0.0000 0.1934 0.0000  2 Tc 2.70, 1 Ce 2.84
Th 0.1209 0.2464 0.6203  2 Tc 3.03-3.05, 1 In 3.37
Th 0.1832 0.5000 0.1817  2 Tc 3.16-3.19, 2 Th 3.50, 1 In 3.53
In 0.1954 0.0000 0.1962  2 Ce 3.31, 10 Th 3.37-3.70
Tc 0.0010 0.5000 0.2481  2 Ce 2.70, 1 Tc 2.98

=====

10.
Compound: SrSb
Source: Alexandria via LeMat-Bulk
Functional: PBE-GGA
Structure: optimized geometry

Calculated values
density of states at the Fermi level: 1.7 states/eV/f.u.
ρ: 4.960 g cm⁻³
formation energy from raw total energies: -157 kJ/mol of formula units

Cell: 4.7980 4.6749 6.6984 Å, 90.00 111.07 90.00°
Closest atoms and distances in Å follow each position.
Space group P2_1/m (No. 11)
One atom of each set of equivalent atoms:
Sr 0.1228 0.2500 0.2621  6 Sb 3.37-3.65
Sb 0.4163 0.2500 0.8087  2 Sb 3.35, 6 Sr 3.37-3.65

=====

11.
Compound: SrTlTeI
Source: Alexandria via LeMat-Bulk
Functional: PBE-GGA
Structure: optimized geometry

Calculated values
density of states at the Fermi level: 0.0 states/eV/f.u.
ρ: 5.286 g cm⁻³
formation energy from raw total energies: -461 kJ/mol of formula units
offset from the most stable computed form: 0.0 meV/atom

Cell: 8.2602 4.7691 9.1384 Å, 90.00 107.47 90.00°
Closest atoms and distances in Å follow each position.
Space group Cm (No. 8)
One atom of each set of equivalent atoms:
Sr 0.0000 0.0000 0.0000  3 Te 3.30, 3 I 3.38
Tl 0.3079 0.5000 0.4253  3 Te 3.33-3.34
Te 0.4030 0.0000 0.2094  3 Sr 3.30, 3 Tl 3.33-3.34
I 0.0920 0.5000 0.7759  3 Sr 3.38

=====

12.
Compound: ZnSb2P
Source: Alexandria via LeMat-Bulk
Functional: PBE-GGA
Structure: optimized geometry

Calculated values
density of states at the Fermi level: 1.1 states/eV/f.u.
ρ: 6.276 g cm⁻³
formation energy from raw total energies: 61 kJ/mol of formula units
offset from the most stable computed form: 65.7 meV/atom

Cell: 3.8672 3.8672 20.8323 Å, 90.00 90.00 120.00°
Closest atoms and distances in Å follow each position.
Space group R-3m (No. 166, hexagonal axes)
One atom of each set of equivalent atoms:
Zn 0.0000 0.0000 0.0000  6 Sb 2.85
Sb 0.0000 0.0000 0.2482  3 P 2.81, 3 Zn 2.85
P 0.0000 0.0000 0.5000  6 Sb 2.81